# Co2CuPb

A relaxed structure of Co2CuPb (GGA-PBE, Alexandria via LeMat-Bulk).

The density of states at the Fermi level comes out at 5.52 states/eV per cell. The total energy comes out at -41.03 eV/cell.

It has space group Cm (No. 8), with a = 7.005 Å, b = 4.038 Å, c = 5.035 Å, α = 90.00°, β = 117.31° and γ = 90.00°. The inequivalent atoms are Co at (0.000, 0.000, 0.000), Co at (0.151, 0.500, 0.954), Cu at (0.238, 0.000, 0.712) and Pb at (0.451, 0.000, 0.353).